# 1
Here is a relaxed BaDyGa2Pd2 crystal from the Alexandria database. Energies are from GGA-PBE.

Calculated values
For the raw total energy, the calculation gives -0.3368 Ry/atom. For the density, the calculation gives 7.57 g/cm3. Its total moment is 0.00 μB/f.u. Its space group is No. 164.

a b c (Å): 4.5561 4.5561 7.9558
angles (deg): 90.00 90.00 120.00
Closest atoms and distances in Å follow each position.
Fractional coordinates of all 6 atoms:
Ba 0.0000 0.0000 0.0000  6 Ga 3.57, 6 Pd 3.61, 2 Dy 3.98
Dy 0.0000 0.0000 0.5000  6 Pd 3.03, 6 Ga 3.06
Ga 0.6667 0.3333 0.6962  3 Pd 2.63
Ga 0.3333 0.6667 0.3038  3 Pd 2.63
Pd 0.6667 0.3333 0.3112  3 Ga 2.63
Pd 0.3333 0.6667 0.6888  3 Ga 2.63

# 2
Here is a relaxed LaHg2Pb2 crystal from the Alexandria database. Energies are from GGA-PBE.

Calculated values
For the raw total energy, the calculation gives -0.2016 Ry/atom. For the density, the calculation gives 10.88 g/cm3. Its total moment is 0.00 μB/f.u. Its space group is No. 127.

a b c (Å): 8.7605 8.7605 3.7952
angles (deg): 90.00 90.00 90.00
Closest atoms and distances in Å follow each position.
Fractional coordinates of all 10 atoms:
Pb 0.3648 0.8648 0.0000  6 Hg 3.13-3.24, 1 Pb 3.35, 2 La 3.41
Pb 0.8648 0.6352 0.0000  6 Hg 3.13-3.24, 1 Pb 3.35, 2 La 3.41
Pb 0.6352 0.1352 0.0000  6 Hg 3.13-3.24, 1 Pb 3.35, 2 La 3.41
Pb 0.1352 0.3648 0.0000  6 Hg 3.13-3.24, 1 Pb 3.35, 2 La 3.41
Hg 0.1639 0.6639 0.5000  6 Pb 3.13-3.24
Hg 0.6639 0.8361 0.5000  6 Pb 3.13-3.24
Hg 0.8361 0.3361 0.5000  6 Pb 3.13-3.24
Hg 0.3361 0.1639 0.5000  6 Pb 3.13-3.24
La 0.0000 0.0000 0.0000  4 Pb 3.41, 8 Hg 3.79, 2 La 3.80
La 0.5000 0.5000 0.0000  4 Pb 3.41, 8 Hg 3.79, 2 La 3.80

# 3
Here is a relaxed ScTcIN2 crystal from the Alexandria database. Energies are from GGA-PBE.

Calculated values
For the raw total energy, the calculation gives -0.4774 Ry/atom. For the density, the calculation gives 5.76 g/cm3. The value obtained for the formation energy without anion corrections is 0.484 eV/atom. Its total moment is 0.00 μB/f.u. Its space group is No. 123.

a b c (Å): 3.9676 3.9676 5.4586
angles (deg): 90.00 90.00 90.00
Closest atoms and distances in Å follow each position.
Fractional coordinates of all 5 atoms:
I 0.0000 0.0000 0.5000  2 Tc 2.73, 4 Sc 2.81
Sc 0.5000 0.5000 0.5000  4 I 2.81
Tc 0.0000 0.0000 0.0000  4 N 1.98
N 0.0000 0.5000 0.0000  2 Tc 1.98
N 0.5000 0.0000 0.0000  2 Tc 1.98

# 4
Here is a relaxed ErBiSe3 crystal from the Alexandria database. Energies are from GGA-PBE.

Calculated values
For the raw total energy, the calculation gives -0.3598 Ry/atom. For the density, the calculation gives 6.56 g/cm3. The value obtained for the formation energy without anion corrections is -1.115 eV/atom. Its total moment is 0.00 μB/f.u. Its space group is No. 11.

a b c (Å): 4.1335 7.1327 10.7898
angles (deg): 102.49 90.00 90.00
Closest atoms and distances in Å follow each position.
Fractional coordinates of all 10 atoms:
Er 0.2500 0.7345 0.9814  6 Se 2.80-2.92
Er 0.7500 0.2655 0.0186  6 Se 2.80-2.92
Bi 0.2500 0.8619 0.3484  4 Se 2.83-3.04
Bi 0.7500 0.1381 0.6516  4 Se 2.83-3.04
Se 0.2500 0.0489 0.8579  3 Er 2.84-2.92
Se 0.7500 0.9511 0.1421  3 Er 2.84-2.92
Se 0.2500 0.4808 0.1566  3 Er 2.80-2.89, 1 Bi 3.04
Se 0.7500 0.5192 0.8434  3 Er 2.80-2.89, 1 Bi 3.04
Se 0.2500 0.2523 0.5039  3 Bi 2.83-2.92
Se 0.7500 0.7477 0.4961  3 Bi 2.83-2.92

# 5
Here is a relaxed CoReIr crystal from the Alexandria database. Energies are from GGA-PBE.

Calculated values
For the raw total energy, the calculation gives -0.6925 Ry/atom. For the density, the calculation gives 17.52 g/cm3. Its total moment is 1.36 μB/f.u. Its space group is No. 12.

a b c (Å): 2.7111 5.1201 7.2048
angles (deg): 119.51 90.00 105.35
Closest atoms and distances in Å follow each position.
Fractional coordinates of all 6 atoms:
Co 0.6217 0.2433 0.1604  1 Co 2.33, 2 Re 2.59
Co 0.3783 0.7567 0.8396  1 Co 2.33, 2 Re 2.59
Ir 0.6417 0.2835 0.8105  4 Co 2.62-2.71, 4 Re 2.67-2.74, 4 Ir 2.71-2.81
Ir 0.3583 0.7165 0.1895  4 Co 2.62-2.71, 4 Re 2.67-2.74, 4 Ir 2.71-2.81
Re 0.8824 0.7647 0.5363  3 Co 2.59-2.62, 5 Re 2.63-2.75, 4 Ir 2.67-2.74
Re 0.1176 0.2353 0.4637  3 Co 2.59-2.62, 5 Re 2.63-2.75, 4 Ir 2.67-2.74

# 6
Here is a relaxed Ce3Pr3TmTe8 crystal from the Alexandria database. Energies are from GGA-PBE.

Calculated values
For the raw total energy, the calculation gives -0.4064 Ry/atom. For the density, the calculation gives 6.57 g/cm3. The value obtained for the formation energy without anion corrections is -1.413 eV/atom. Its total moment is 1.24 μB/f.u. Its space group is No. 12.

a b c (Å): 8.9768 8.9994 9.0006
angles (deg): 120.17 90.00 119.91
Closest atoms and distances in Å follow each position.
Fractional coordinates of all 15 atoms:
Ce 0.5000 0.0000 0.5000  6 Te 3.17
Ce 0.5000 0.5000 0.5000  6 Te 3.17
Ce 0.0000 0.5000 0.5000  6 Te 3.17
Pr 0.0000 0.0000 0.0000  6 Te 3.19
Pr 0.0000 0.5000 0.0000  6 Te 3.19
Pr 0.5000 0.5000 0.0000  6 Te 3.19
Tm 0.0000 0.0000 0.5000  6 Te 3.12
Te 0.2509 0.5019 0.2529  3 Ce 3.17, 3 Pr 3.19
Te 0.7491 0.4981 0.7471  3 Ce 3.17, 3 Pr 3.19
Te 0.7545 0.5089 0.2561  1 Tm 3.12, 2 Ce 3.17, 2 Pr 3.19
Te 0.2455 0.4911 0.7439  1 Tm 3.12, 2 Ce 3.17, 2 Pr 3.19
Te 0.7544 0.0018 0.2562  1 Tm 3.12, 2 Ce 3.17, 2 Pr 3.19
Te 0.2456 0.9982 0.7438  1 Tm 3.12, 2 Ce 3.17, 2 Pr 3.19
Te 0.2474 0.0018 0.2562  1 Tm 3.12, 2 Ce 3.17, 2 Pr 3.19
Te 0.7526 0.9982 0.7438  1 Tm 3.12, 2 Ce 3.17, 2 Pr 3.19

# 7
Here is a relaxed BaCo2Tc crystal from the Alexandria database. Energies are from GGA-PBE.

Calculated values
For the raw total energy, the calculation gives -0.4597 Ry/atom. For the density, the calculation gives 6.83 g/cm3. Its total moment is 1.66 μB/f.u. Its space group is No. 160.

a b c (Å): 4.1208 4.1208 6.3081
angles (deg): 70.95 70.95 60.00
Closest atoms and distances in Å follow each position.
Fractional coordinates of all 4 atoms:
Ba 0.2524 0.2524 0.2420  4 Tc 3.27-3.51, 7 Co 3.28-3.64
Co 0.0657 0.0657 0.8033  3 Co 2.39, 3 Tc 2.48
Co 0.7429 0.7429 0.7716  3 Co 2.39, 3 Tc 2.43-2.44
Tc 0.4391 0.4391 0.6831  6 Co 2.43-2.48

# 8
Here is a relaxed MnAl2H2 crystal from the Alexandria database. Energies are from GGA-PBE.

Calculated values
For the raw total energy, the calculation gives -0.3362 Ry/atom. For the density, the calculation gives 3.56 g/cm3. Its total moment is 2.57 μB/f.u. Its space group is No. 127.

a b c (Å): 5.2225 5.2225 3.7979
angles (deg): 90.00 90.00 90.00
Closest atoms and distances in Å follow each position.
Fractional coordinates of all 10 atoms:
H 0.2076 0.7076 0.0000  2 Mn 1.87, 2 Al 1.91
H 0.7076 0.7924 0.0000  2 Mn 1.87, 2 Al 1.91
H 0.7924 0.2924 0.0000  2 Mn 1.87, 2 Al 1.91
H 0.2924 0.2076 0.0000  2 Mn 1.87, 2 Al 1.91
Mn 0.0000 0.0000 0.0000  4 H 1.87
Mn 0.5000 0.5000 0.0000  4 H 1.87
Al 0.1862 0.6862 0.5000  2 H 1.91
Al 0.6862 0.8138 0.5000  2 H 1.91
Al 0.8138 0.3138 0.5000  2 H 1.91
Al 0.3138 0.1862 0.5000  2 H 1.91

# 9
Here is a relaxed Dy2ZnPd2 crystal from the Alexandria database. Energies are from GGA-PBE.

Calculated values
For the raw total energy, the calculation gives -0.3639 Ry/atom. For the density, the calculation gives 9.66 g/cm3. Its total moment is 0.00 μB/f.u. Its space group is No. 15.

a b c (Å): 5.6606 5.6606 7.8671
angles (deg): 76.02 76.02 58.90
Closest atoms and distances in Å follow each position.
Fractional coordinates of all 10 atoms:
Dy 0.4964 0.2056 0.1489  6 Pd 2.93-3.14, 2 Zn 3.19-3.23
Dy 0.7944 0.5036 0.3511  6 Pd 2.93-3.14, 2 Zn 3.19-3.23
Dy 0.5036 0.7944 0.8511  6 Pd 2.93-3.14, 2 Zn 3.19-3.23
Dy 0.2056 0.4964 0.6489  6 Pd 2.93-3.14, 2 Zn 3.19-3.23
Zn 0.1789 0.8211 0.2500  4 Pd 2.64-2.67
Zn 0.8211 0.1789 0.7500  4 Pd 2.64-2.67
Pd 0.7378 0.9995 0.5011  2 Zn 2.64-2.67, 1 Pd 2.69, 1 Dy 2.93
Pd 0.0005 0.2622 0.9989  2 Zn 2.64-2.67, 1 Pd 2.69, 1 Dy 2.93
Pd 0.2622 0.0005 0.4989  2 Zn 2.64-2.67, 1 Pd 2.69, 1 Dy 2.93
Pd 0.9995 0.7378 0.0011  2 Zn 2.64-2.67, 1 Pd 2.69, 1 Dy 2.93

# 10
Here is a relaxed Pr3N2 crystal from the Alexandria database. Energies are from GGA-PBE.

Calculated values
For the raw total energy, the calculation gives -0.5318 Ry/atom. For the density, the calculation gives 6.73 g/cm3. The value obtained for the formation energy without anion corrections is -1.038 eV/atom. Its total moment is 0.00 μB/f.u. Its space group is No. 166.

a b c (Å): 3.6762 3.6762 9.7325
angles (deg): 79.11 79.11 60.00
Closest atoms and distances in Å follow each position.
Fractional coordinates of all 5 atoms:
Pr 0.0000 0.0000 0.0000  6 N 2.66
Pr 0.7677 0.7677 0.6969  3 N 2.48
Pr 0.2323 0.2323 0.3031  3 N 2.48
N 0.3896 0.3896 0.8313  6 Pr 2.48-2.66
N 0.6104 0.6104 0.1687  6 Pr 2.48-2.66

# 11
Here is a relaxed SmGa3Tc crystal from the Alexandria database. Energies are from GGA-PBE.

Calculated values
For the raw total energy, the calculation gives -0.3847 Ry/atom. For the density, the calculation gives 7.89 g/cm3. Its total moment is 0.00 μB/f.u. Its space group is No. 194.

a b c (Å): 5.5911 6.3057 6.3057
angles (deg): 120.00 90.00 90.00
Closest atoms and distances in Å follow each position.
Fractional coordinates of all 10 atoms:
Sm 0.7500 0.3333 0.6667  12 Ga 3.17-3.18
Sm 0.2500 0.6667 0.3333  12 Ga 3.17-3.18
Ga 0.7500 0.8045 0.6091  2 Tc 2.55, 2 Ga 2.61
Ga 0.2500 0.1955 0.8045  2 Tc 2.55, 2 Ga 2.61
Ga 0.7500 0.3909 0.1955  2 Tc 2.55, 2 Ga 2.61
Ga 0.2500 0.6091 0.8045  2 Tc 2.55, 2 Ga 2.61
Ga 0.2500 0.1955 0.3909  2 Tc 2.55, 2 Ga 2.61
Ga 0.7500 0.8045 0.1955  2 Tc 2.55, 2 Ga 2.61
Tc 0.5000 0.0000 0.0000  6 Ga 2.55, 2 Tc 2.80
Tc 0.0000 0.0000 0.0000  6 Ga 2.55, 2 Tc 2.80

# 12
Here is a relaxed Er3Pb2O crystal from the Alexandria database. Energies are from GGA-PBE.

Calculated values
For the raw total energy, the calculation gives -0.4170 Ry/atom. For the density, the calculation gives 10.12 g/cm3. The value obtained for the formation energy without anion corrections is -1.329 eV/atom. Its total moment is 0.00 μB/f.u. Its space group is No. 15.

a b c (Å): 6.5479 6.8821 15.4399
angles (deg): 89.93 89.85 61.59
Closest atoms and distances in Å follow each position.
Fractional coordinates of all 24 atoms:
Er 0.5826 0.8348 0.2500  2 O 2.22
Er 0.4174 0.1652 0.7500  2 O 2.22
Er 0.5947 0.3078 0.1421  1 O 2.19
Er 0.0976 0.3078 0.3579  1 O 2.19
Er 0.4053 0.6922 0.8579  1 O 2.19
Er 0.9024 0.6922 0.6421  1 O 2.19
Er 0.6387 0.2264 0.5415  1 O 2.17
Er 0.1349 0.2264 0.9585  1 O 2.17
Er 0.3613 0.7736 0.4585  1 O 2.17
Er 0.8651 0.7736 0.0415  1 O 2.17
Er 0.0808 0.8385 0.2500  2 O 2.22
Er 0.9192 0.1615 0.7500  2 O 2.22
Pb 0.5781 0.3451 0.3399  5 Er 3.06-3.30
Pb 0.0768 0.3451 0.1601  5 Er 3.06-3.30
Pb 0.4219 0.6549 0.6601  5 Er 3.06-3.30
Pb 0.9232 0.6549 0.8399  5 Er 3.06-3.30
Pb 0.3619 0.7791 0.0622  7 Er 3.11-3.35
Pb 0.8589 0.7791 0.4378  7 Er 3.11-3.35
Pb 0.6381 0.2209 0.9378  7 Er 3.11-3.35
Pb 0.1411 0.2209 0.5622  7 Er 3.11-3.35
O 0.7749 0.9499 0.1638  4 Er 2.17-2.22
O 0.2753 0.9499 0.3362  4 Er 2.17-2.22
O 0.2251 0.0501 0.8362  4 Er 2.17-2.22
O 0.7247 0.0501 0.6638  4 Er 2.17-2.22